Record 1
Here is Hf7As4N4 after structural relaxation from Alexandria via LeMat-Bulk. Energies are from PBE.

Computed properties:
* SG: I4/mmm (139)
* size of the total moment: 0.0000 μB/atom
* formation energy from raw total energies: -870 meV per atom
* V: 15.6 Å³/atom

a = 5.8524 Å, b = 9.4214 Å, c = 9.4214 Å
α = 84.46°, β = 71.91°, γ = 71.91°
Last column: nearest neighbours and their distance in Å.
Positions (direct):
N: 0.1170 0.5000 0.7661  4 Hf 2.23-2.39
N: 0.6170 0.7661 0.5000  4 Hf 2.23-2.39
As: 0.6760 0.8240 0.8240  3 Hf 2.52-2.68
Hf: 0.5000 0.6253 0.3747  4 N 2.23
N: 0.3830 0.5000 0.2339  4 Hf 2.23-2.39
As: 0.8660 0.2680 0.0000  5 Hf 2.63-2.80
N: 0.6170 0.5000 0.7661  4 Hf 2.23-2.39
Hf: 0.1253 0.3747 0.3747  4 N 2.23
As: 0.5000 0.1760 0.8240  3 Hf 2.52-2.68
As: 0.3240 0.1760 0.1760  3 Hf 2.52-2.68
Hf: 0.7194 0.5613 0.0000  4 N 2.61, 3 As 2.63-2.83
As: 0.1340 0.7320 0.0000  5 Hf 2.63-2.80
Hf: 0.2806 0.4387 0.0000  4 N 2.61, 3 As 2.63-2.83
Hf: 0.7532 0.0000 0.0000  8 As 2.68-2.80, 2 Hf 2.89-2.96
Hf: 0.0000 0.2990 0.7010  4 N 2.39
N: 0.1170 0.7661 0.5000  4 Hf 2.23-2.39
As: 0.5000 0.8240 0.1760  3 Hf 2.52-2.68
Hf: 0.7194 0.0000 0.5613  4 N 2.61, 3 As 2.63-2.83
Hf: 0.2468 0.0000 0.0000  8 As 2.68-2.80, 2 Hf 2.89-2.96
As: 0.1340 0.0000 0.7320  5 Hf 2.63-2.80
Hf: 0.7010 0.2990 0.2990  4 N 2.39
Hf: 0.2990 0.7010 0.7010  4 N 2.39
N: 0.8830 0.2339 0.5000  4 Hf 2.23-2.39
As: 0.8660 0.0000 0.2680  5 Hf 2.63-2.80
Hf: 0.8747 0.6253 0.6253  4 N 2.23
N: 0.3830 0.2339 0.5000  4 Hf 2.23-2.39
Hf: 0.0000 0.7010 0.2990  4 N 2.39
N: 0.8830 0.5000 0.2339  4 Hf 2.23-2.39
Hf: 0.2806 0.0000 0.4387  4 N 2.61, 3 As 2.63-2.83
Hf: 0.5000 0.3747 0.6253  4 N 2.23

Record 2
Here is Sr3ScCu2O6 after structural relaxation from Alexandria via LeMat-Bulk. Energies are from PBE.

Computed properties:
* SG: P-3m1 (164)
* size of the total moment: 0.0709 μB/atom
* formation energy from raw total energies: -2041 meV per atom
* V: 15.9 Å³/atom

a = 5.8822 Å, b = 5.8822 Å, c = 6.3783 Å
α = 90.00°, β = 90.00°, γ = 120.00°
Last column: nearest neighbours and their distance in Å.
Positions (direct):
O: 0.1632 0.8368 0.3014  1 Cu 1.90, 1 Sc 2.09
Sr: 0.3333 0.6667 0.6338  9 O 2.74-2.97, 1 Cu 2.90
O: 0.1632 0.3264 0.3014  1 Cu 1.90, 1 Sc 2.09
Cu: 0.3333 0.6667 0.1787  3 O 1.90
Sr: 0.6667 0.3333 0.3662  9 O 2.74-2.97, 1 Cu 2.90
Sr: 0.0000 0.0000 0.0000  6 O 2.54
Cu: 0.6667 0.3333 0.8213  3 O 1.90
Sc: 0.0000 0.0000 0.5000  6 O 2.09
O: 0.3264 0.1632 0.6986  1 Cu 1.90, 1 Sc 2.09
O: 0.6736 0.8368 0.3014  1 Cu 1.90, 1 Sc 2.09
O: 0.8368 0.1632 0.6986  1 Cu 1.90, 1 Sc 2.09
O: 0.8368 0.6736 0.6986  1 Cu 1.90, 1 Sc 2.09

Record 3
Here is AlV2Mo6 after structural relaxation from Alexandria via LeMat-Bulk. Energies are from PBE.

Computed properties:
* ΔE_f: -2.3 kcal/mol of atoms
* SG: C2/m (12)
* size of the total moment: 0.0000 μB/atom
* V: 15.2 Å³/atom

a = 4.3982 Å, b = 5.1457 Å, c = 7.0194 Å
α = 66.54°, β = 108.28°, γ = 90.02°
Last column: nearest neighbours and their distance in Å.
Positions (direct):
V: 0.1121 0.3507 0.2244  6 Mo 2.63-2.75, 1 V 2.73, 1 Al 2.78
Mo: 0.2223 0.6713 0.4446  1 V 2.63, 6 Mo 2.68-2.73, 1 Al 2.73
Al: 0.0000 0.0000 0.0000  6 Mo 2.72-2.73, 4 V 2.78-3.03
Mo: 0.4443 0.3417 0.8888  4 Mo 2.62-2.73, 2 V 2.63, 2 Al 2.72
Mo: 0.7777 0.3287 0.5554  1 V 2.63, 6 Mo 2.68-2.73, 1 Al 2.73
Mo: 0.3350 0.0008 0.6701  5 Mo 2.68-2.72, 3 V 2.74-2.75
Mo: 0.5557 0.6583 0.1112  4 Mo 2.62-2.73, 2 V 2.63, 2 Al 2.72
V: 0.8879 0.6493 0.7756  6 Mo 2.63-2.75, 1 V 2.73, 1 Al 2.78
Mo: 0.6650 0.9992 0.3299  5 Mo 2.68-2.72, 3 V 2.74-2.75

Record 4
Here is LiLa2AlRu after structural relaxation from Alexandria via LeMat-Bulk. Energies are from PBE.

Computed properties:
* ΔE_f: -4.5 kcal/mol of atoms
* SG: P4/mmm (123)
* size of the total moment: 0.0000 μB/atom
* V: 29.6 Å³/atom

a = 5.4687 Å, b = 5.4687 Å, c = 4.9451 Å
α = 90.00°, β = 90.00°, γ = 90.00°
Last column: nearest neighbours and their distance in Å.
Positions (direct):
Li: 0.5000 0.5000 0.5000  8 La 3.69, 4 Al 3.87
La: 0.0000 0.5000 0.0000  2 Ru 2.73
Al: 0.0000 0.0000 0.5000  2 Ru 2.47
Ru: 0.0000 0.0000 0.0000  2 Al 2.47, 4 La 2.73
La: 0.5000 0.0000 0.0000  2 Ru 2.73

Record 5
Here is NbGaFe after structural relaxation from Alexandria via LeMat-Bulk. Energies are from PBE.

Computed properties:
* ΔE_f: -2.3 kcal/mol of atoms
* SG: Imm2 (44)
* size of the total moment: 0.3236 μB/atom
* V: 15.1 Å³/atom

a = 3.1840 Å, b = 6.6822 Å, c = 7.3895 Å
α = 116.88°, β = 102.44°, γ = 90.00°
Last column: nearest neighbours and their distance in Å.
Positions (direct):
Ga: 0.3308 0.5405 0.6616  4 Fe 2.51-2.67, 5 Nb 2.69-2.74
Ga: 0.0000 0.1924 0.0000  4 Fe 2.47-2.53, 5 Nb 2.68-2.71
Fe: 0.5000 0.4756 0.0000  4 Ga 2.47-2.67, 4 Fe 2.60, 2 Nb 2.62
Nb: 0.6637 0.2759 0.3274  3 Fe 2.60-2.62, 5 Ga 2.68-2.74
Nb: 0.3363 0.9485 0.6726  3 Fe 2.60-2.62, 5 Ga 2.68-2.74
Ga: 0.6692 0.8789 0.3384  4 Fe 2.51-2.67, 5 Nb 2.69-2.74
Fe: 0.1583 0.5778 0.3166  4 Ga 2.51-2.61, 3 Nb 2.60-2.62, 2 Fe 2.60
Nb: 0.0000 0.7870 0.0000  2 Fe 2.62, 5 Ga 2.71-2.74
Fe: 0.8417 0.2612 0.6834  4 Ga 2.51-2.61, 3 Nb 2.60-2.62, 2 Fe 2.60

Record 6
Here is BaZnHPd2 after structural relaxation from Alexandria via LeMat-Bulk. Energies are from PBE.

Computed properties:
* SG: Cmcm (63)
* size of the total moment: 0.0000 μB/atom
* V: 18.3 Å³/atom

a = 4.2653 Å, b = 6.1606 Å, c = 7.4119 Å
α = 90.00°, β = 90.00°, γ = 110.25°
Last column: nearest neighbours and their distance in Å.
Positions (direct):
Pd: 0.8370 0.6739 0.0543  1 H 1.93
Ba: 0.5561 0.1122 0.2500  4 H 2.90, 1 Zn 3.19
Zn: 0.7199 0.4399 0.7500  6 Pd 2.63-2.66
H: 0.0000 0.0000 0.0000  2 Pd 1.93
Pd: 0.1630 0.3261 0.5543  1 H 1.93
Pd: 0.8370 0.6739 0.4457  1 H 1.93
Pd: 0.1630 0.3261 0.9457  1 H 1.93
Ba: 0.4439 0.8878 0.7500  4 H 2.90, 1 Zn 3.19
H: 0.0000 0.0000 0.5000  2 Pd 1.93
Zn: 0.2801 0.5601 0.2500  6 Pd 2.63-2.66

Record 7
Here is Pr6Si2NiCl3 after structural relaxation from Alexandria via LeMat-Bulk. Energies are from PBE.

Computed properties:
* SG: C2/m (12)
* size of the total moment: 0.0000 μB/atom
* formation energy from raw total energies: -1061 meV per atom
* V: 27.2 Å³/atom

a = 4.1733 Å, b = 8.6744 Å, c = 9.5112 Å
α = 102.98°, β = 102.67°, γ = 90.00°
Last column: nearest neighbours and their distance in Å.
Positions (direct):
Pr: 0.0032 0.2240 0.0063  2 Ni 2.84, 1 Si 2.94, 1 Cl 3.15
Si: 0.1654 0.3343 0.3309  6 Pr 2.92-2.95
Pr: 0.6713 0.5716 0.3427  3 Si 2.92-2.95, 3 Cl 3.09-3.10
Cl: 0.5000 0.5000 0.0000  6 Pr 3.10-3.19
Si: 0.8346 0.6657 0.6691  6 Pr 2.92-2.95
Ni: 0.5000 0.0000 0.0000  6 Pr 2.84-2.88
Cl: 0.1708 0.8348 0.3417  6 Pr 3.07-3.15
Pr: 0.3407 0.9053 0.6814  1 Ni 2.88, 2 Si 2.93, 3 Cl 3.07-3.12
Pr: 0.9968 0.7760 0.9937  2 Ni 2.84, 1 Si 2.94, 1 Cl 3.15
Cl: 0.8292 0.1652 0.6583  6 Pr 3.07-3.15
Pr: 0.6593 0.0947 0.3186  1 Ni 2.88, 2 Si 2.93, 3 Cl 3.07-3.12
Pr: 0.3287 0.4284 0.6573  3 Si 2.92-2.95, 3 Cl 3.09-3.10

Record 8
Here is Tl2WI2Br4 after structural relaxation from Alexandria via LeMat-Bulk. Energies are from PBE.

Computed properties:
* SG: C2/m (12)
* size of the total moment: 0.2222 μB/atom
* formation energy from raw total energies: -516 meV per atom
* V: 35.8 Å³/atom

a = 7.5404 Å, b = 7.7793 Å, c = 7.7793 Å
α = 57.29°, β = 61.51°, γ = 61.51°
Last column: nearest neighbours and their distance in Å.
Positions (direct):
Br: 0.7011 0.7931 0.2739  1 W 2.55
Br: 0.7011 0.2739 0.7931  1 W 2.55
I: 0.1916 0.2374 0.2374  1 W 2.78
Br: 0.2989 0.7261 0.2069  1 W 2.55
I: 0.8084 0.7626 0.7626  1 W 2.78
Br: 0.2989 0.2069 0.7261  1 W 2.55
Tl: 0.2992 0.7507 0.7507  4 Br 3.45-3.46, 3 I 3.62-3.84
Tl: 0.7008 0.2493 0.2493  4 Br 3.45-3.46, 3 I 3.62-3.84
W: 0.5000 0.0000 0.0000  4 Br 2.55, 2 I 2.78

Record 9
Here is PuScPd14 after structural relaxation from Alexandria via LeMat-Bulk. Energies are from PBE.

Computed properties:
* ΔE_f: -8.1 kcal/mol of atoms
* SG: P4/mmm (123)
* size of the total moment: 0.2406 μB/atom
* V: 16.2 Å³/atom

a = 5.7320 Å, b = 5.7320 Å, c = 7.8745 Å
α = 90.00°, β = 90.00°, γ = 89.99°
Last column: nearest neighbours and their distance in Å.
Positions (direct):
Pd: 0.3750 0.3750 0.0000  12 Pd 2.82-2.87
Pd: 0.6273 0.1227 0.2472  10 Pd 2.80-2.89, 1 Sc 2.83, 1 Pu 2.85
Pd: 0.8750 0.3750 0.5000  8 Pd 2.84, 2 Sc 2.87, 2 Pu 2.87
Pd: 0.8750 0.8750 0.0000  12 Pd 2.80-2.87
Pd: 0.1227 0.6273 0.2472  10 Pd 2.80-2.89, 1 Sc 2.83, 1 Pu 2.85
Pd: 0.1228 0.1228 0.7528  10 Pd 2.80-2.89, 1 Sc 2.83, 1 Pu 2.85
Pd: 0.1227 0.6273 0.7528  10 Pd 2.80-2.89, 1 Sc 2.83, 1 Pu 2.85
Pd: 0.3750 0.8750 0.0000  12 Pd 2.81-2.87
Pd: 0.1228 0.1228 0.2472  10 Pd 2.80-2.89, 1 Sc 2.83, 1 Pu 2.85
Pu: 0.3750 0.3750 0.5000  12 Pd 2.85-2.87
Pd: 0.3750 0.8750 0.5000  8 Pd 2.84, 2 Sc 2.87, 2 Pu 2.87
Pd: 0.8750 0.3750 0.0000  12 Pd 2.81-2.87
Pd: 0.6272 0.6272 0.7528  10 Pd 2.80-2.89, 1 Sc 2.83, 1 Pu 2.85
Pd: 0.6273 0.1227 0.7528  10 Pd 2.80-2.89, 1 Sc 2.83, 1 Pu 2.85
Pd: 0.6272 0.6272 0.2472  10 Pd 2.80-2.89, 1 Sc 2.83, 1 Pu 2.85
Sc: 0.8750 0.8750 0.5000  12 Pd 2.83-2.87

Record 10
Here is La5Fe after structural relaxation from Alexandria via LeMat-Bulk. Energies are from PBE.

Computed properties:
* ΔE_f: 2.4 kcal/mol of atoms
* SG: P4/mmm (123)
* size of the total moment: 0.2565 μB/atom
* V: 32.1 Å³/atom

a = 3.6298 Å, b = 3.6298 Å, c = 14.6284 Å
α = 90.00°, β = 90.00°, γ = 90.00°
Last column: nearest neighbours and their distance in Å.
Positions (direct):
La: 0.5000 0.5000 0.8204  12 La 3.63-3.95
La: 0.5000 0.5000 0.1796  12 La 3.63-3.95
La: 0.0000 0.0000 0.6147  4 Fe 3.07, 1 La 3.36
La: 0.0000 0.0000 0.3853  4 Fe 3.07, 1 La 3.36
La: 0.0000 0.0000 0.0000  12 La 3.63-3.67
Fe: 0.5000 0.5000 0.5000  8 La 3.07

Record 11
Here is DyZrNb after structural relaxation from Alexandria via LeMat-Bulk. Energies are from PBE.

Computed properties:
* ΔE_f: 3.8 kcal/mol of atoms
* SG: I4mm (107)
* size of the total moment: 0.0000 μB/atom
* V: 24.2 Å³/atom

a = 3.6771 Å, b = 3.6771 Å, c = 5.9579 Å
α = 107.97°, β = 107.97°, γ = 90.00°
Last column: nearest neighbours and their distance in Å.
Positions (direct):
Dy: 0.0042 0.0042 0.0085  5 Zr 3.19-3.39, 5 Nb 3.30-3.32
Nb: 0.6941 0.6941 0.3882  4 Zr 2.84
Zr: 0.3017 0.3017 0.6033  4 Nb 2.84

Record 12
Here is Be2SiNi after structural relaxation from Alexandria via LeMat-Bulk. Energies are from PBE.

Computed properties:
* SG: I-42d (122)
* size of the total moment: 0.0000 μB/atom
* formation energy from raw total energies: 326 meV per atom
* V: 11.3 Å³/atom

a = 6.3933 Å, b = 6.3933 Å, c = 5.0367 Å
α = 50.60°, β = 50.60°, γ = 90.00°
Last column: nearest neighbours and their distance in Å.
Positions (direct):
Be: 0.1013 0.6250 0.2500  2 Ni 2.23, 2 Be 2.24, 2 Si 2.43
Be: 0.3750 0.3513 0.7500  2 Ni 2.23, 2 Be 2.24, 2 Si 2.43
Si: 0.5000 0.5000 0.0000  2 Ni 2.22, 4 Be 2.43
Be: 0.6487 0.1250 0.2500  2 Ni 2.23, 2 Be 2.24, 2 Si 2.43
Si: 0.2500 0.7500 0.5000  2 Ni 2.22, 4 Be 2.43
Ni: 0.0000 0.0000 0.0000  2 Si 2.22, 4 Be 2.23
Ni: 0.7500 0.2500 0.5000  2 Si 2.22, 4 Be 2.23
Be: 0.8750 0.8987 0.7500  2 Ni 2.23, 2 Be 2.24, 2 Si 2.43

no.,DFT total energy (eV per atom)
1,-8.975
2,-6.151
3,-9.761
4,-5.151
5,-7.284
6,-3.885
7,-5.298
8,-3.569
9,-6.185
10,-5.411
11,-7.576
12,-4.338